(A)
# CaVSe2 PBE-GGA optimized geometry
# D(E_F) ... 9.2 states/eV per cell
# Magnetic moment ... 2.99 μB per formula unit
data_CaVSe2
_cell_length_a 4.3992
_cell_length_b 4.3992
_cell_length_c 23.4785
_cell_angle_alpha 90.00
_cell_angle_beta 90.00
_cell_angle_gamma 120.00
_space_group_name_H-M_alt 'R -3 m'
_space_group_IT_number 166
_space_group_name_Hall '-R 3 2"'
loop_
_atom_site_label
_atom_site_fract_x
_atom_site_fract_y
_atom_site_fract_z
_atom_site_occupancy
Ca1 0.0000 0.0000 0.0000 1
V1 0.0000 0.0000 0.5000 1
Se1 0.0000 0.0000 0.3988 1



(B)
# CaVSe2 PBE-GGA optimized geometry
# D(E_F) ... 14.4 states/eV per cell
# Magnetic moment ... 1.95 μB per formula unit
data_CaVSe2
_cell_length_a 3.8073
_cell_length_b 3.8073
_cell_length_c 25.3211
_cell_angle_alpha 90.00
_cell_angle_beta 90.00
_cell_angle_gamma 120.00
_space_group_name_H-M_alt 'R -3 m'
_space_group_IT_number 166
_space_group_name_Hall '-R 3 2"'
loop_
_atom_site_label
_atom_site_fract_x
_atom_site_fract_y
_atom_site_fract_z
_atom_site_occupancy
Ca1 0.0000 0.0000 0.0000 1
V1 0.0000 0.0000 0.5000 1
Se1 0.0000 0.0000 0.1120 1



Which of them is most stable, and which least? Most stable: (B); least stable: (A).



(A)
# CaVSe2 PBE-GGA optimized geometry
# D(E_F) ... 7.6 states/eV per cell
# Magnetic moment ... 2.99 μB per formula unit
data_CaVSe2
_cell_length_a 6.9167
_cell_length_b 6.9167
_cell_length_c 6.9167
_cell_angle_alpha 90.00
_cell_angle_beta 90.00
_cell_angle_gamma 90.00
_space_group_name_H-M_alt 'F m -3 m'
_space_group_IT_number 225
_space_group_name_Hall '-F 4 2 3'
loop_
_atom_site_label
_atom_site_fract_x
_atom_site_fract_y
_atom_site_fract_z
_atom_site_occupancy
Ca1 0.0000 0.0000 0.0000 1
V1 0.0000 0.0000 0.5000 1
Se1 0.2500 0.2500 0.2500 1



(B)
# CaVSe2 PBE-GGA optimized geometry
# D(E_F) ... 9.2 states/eV per cell
# Magnetic moment ... 3.00 μB per formula unit
data_CaVSe2
_cell_length_a 6.1560
_cell_length_b 6.1560
_cell_length_c 12.3429
_cell_angle_alpha 90.00
_cell_angle_beta 90.00
_cell_angle_gamma 90.00
_space_group_name_H-M_alt 'I -4 2 d'
_space_group_IT_number 122
_space_group_name_Hall 'I -4 2bw'
loop_
_atom_site_label
_atom_site_fract_x
_atom_site_fract_y
_atom_site_fract_z
_atom_site_occupancy
Ca1 0.0000 0.0000 0.0000 1
V1 0.0000 0.0000 0.5000 1
Se1 0.2017 0.2500 0.6250 1



Which of them is most stable, and which least? Most stable: (B); least stable: (A).



(A)
# CaWSe2 PBE-GGA optimized geometry
# D(E_F) ... 2.7 states/eV per cell
# Magnetic moment ... 0.00 μB per formula unit
data_CaWSe2
_cell_length_a 3.4541
_cell_length_b 3.4875
_cell_length_c 7.1859
_cell_angle_alpha 90.00
_cell_angle_beta 90.00
_cell_angle_gamma 90.00
_space_group_name_H-M_alt 'P m m m'
_space_group_IT_number 47
loop_
_space_group_symop_operation_xyz
'x,y,z'
'-x,-y,-z'
'-x,-y,z'
'x,y,-z'
'x,-y,-z'
'-x,y,z'
'-x,y,-z'
'x,-y,z'
loop_
_atom_site_label
_atom_site_fract_x
_atom_site_fract_y
_atom_site_fract_z
_atom_site_occupancy
Ca1 0.0000 0.0000 0.0000 1
W1 0.5000 0.0000 0.5000 1
Se1 0.5000 0.5000 0.2417 1



(B)
# CaWSe2 PBE-GGA optimized geometry
# D(E_F) ... 4.7 states/eV per cell
# Magnetic moment ... 0.00 μB per formula unit
data_CaWSe2
_cell_length_a 8.6820
_cell_length_b 3.3938
_cell_length_c 6.3656
_cell_angle_alpha 90.00
_cell_angle_beta 107.36
_cell_angle_gamma 90.00
_space_group_name_H-M_alt 'C 1 m 1'
_space_group_IT_number 8
loop_
_space_group_symop_operation_xyz
'x,y,z'
'x,-y,z'
'x+1/2,y+1/2,z'
'x+1/2,-y+1/2,z'
loop_
_atom_site_label
_atom_site_fract_x
_atom_site_fract_y
_atom_site_fract_z
_atom_site_occupancy
Ca1 0.0000 0.0000 0.0000 1
W1 0.2326 0.5000 0.4311 1
Se1 0.2305 0.0000 0.7397 1
Se2 0.4259 0.0000 0.3691 1



Which of them is most stable, and which least? Most stable: (B); least stable: (A).



(A)
# CaY2Se PBE-GGA optimized geometry
# D(E_F) ... 11.1 states/eV per cell
# Magnetic moment ... 0.00 μB per formula unit
data_CaY2Se
_cell_length_a 6.0202
_cell_length_b 11.3264
_cell_length_c 3.8364
_cell_angle_alpha 90.00
_cell_angle_beta 90.00
_cell_angle_gamma 90.00
_space_group_name_H-M_alt 'C m m m'
_space_group_IT_number 65
_space_group_name_Hall '-C 2 2'
loop_
_atom_site_label
_atom_site_fract_x
_atom_site_fract_y
_atom_site_fract_z
_atom_site_occupancy
Ca1 0.0000 0.0000 0.0000 1
Y1 0.0000 0.3205 0.5000 1
Se1 0.0000 0.5000 0.0000 1



(B)
# CaY2Se PBE-GGA optimized geometry
# D(E_F) ... 4.4 states/eV per cell
# Magnetic moment ... 0.00 μB per formula unit
data_CaY2Se
_cell_length_a 3.6639
_cell_length_b 3.6639
_cell_length_c 8.7899
_cell_angle_alpha 90.00
_cell_angle_beta 90.00
_cell_angle_gamma 90.00
_space_group_name_H-M_alt 'P 4 m m'
_space_group_IT_number 99
loop_
_space_group_symop_operation_xyz
'x,y,z'
'-y,x,z'
'-x,-y,z'
'y,-x,z'
'-x,y,z'
'y,x,z'
'x,-y,z'
'-y,-x,z'
loop_
_atom_site_label
_atom_site_fract_x
_atom_site_fract_y
_atom_site_fract_z
_atom_site_occupancy
Ca1 0.0000 0.0000 0.0000 1
Y1 0.0000 0.0000 0.4031 1
Y2 0.5000 0.5000 0.6802 1
Se1 0.5000 0.5000 0.2159 1



(C)
# CaY2Se PBE-GGA optimized geometry
# D(E_F) ... 7.7 states/eV per cell
# Magnetic moment ... 0.00 μB per formula unit
data_CaY2Se
_cell_length_a 3.8194
_cell_length_b 4.0311
_cell_length_c 15.8523
_cell_angle_alpha 90.00
_cell_angle_beta 90.00
_cell_angle_gamma 90.00
_space_group_name_H-M_alt 'A m m 2'
_space_group_IT_number 38
loop_
_space_group_symop_operation_xyz
'x,y,z'
'-x,-y,z'
'-x,y,z'
'x,-y,z'
'x,y+1/2,z+1/2'
'-x,-y+1/2,z+1/2'
'-x,y+1/2,z+1/2'
'x,-y+1/2,z+1/2'
loop_
_atom_site_label
_atom_site_fract_x
_atom_site_fract_y
_atom_site_fract_z
_atom_site_occupancy
Ca1 0.0000 0.0000 0.0000 1
Y1 0.0000 0.0000 0.2902 1
Y2 0.5000 0.0000 0.6534 1
Se1 0.5000 0.0000 0.4410 1



Which of them is most stable, and which least? Most stable: (C); least stable: (A).



(A)
# CaY2Se PBE-GGA optimized geometry
# D(E_F) ... 26.9 states/eV per cell
# Magnetic moment ... 0.87 μB per formula unit
data_CaY2Se
_cell_length_a 7.7391
_cell_length_b 7.7391
_cell_length_c 7.7391
_cell_angle_alpha 90.00
_cell_angle_beta 90.00
_cell_angle_gamma 90.00
_space_group_name_H-M_alt 'F -4 3 m'
_space_group_IT_number 216
_space_group_name_Hall 'F -4 2 3'
loop_
_atom_site_label
_atom_site_fract_x
_atom_site_fract_y
_atom_site_fract_z
_atom_site_occupancy
Ca1 0.0000 0.0000 0.0000 1
Y1 0.0000 0.0000 0.5000 1
Y2 0.2500 0.2500 0.7500 1
Se1 0.2500 0.2500 0.2500 1



(B)
# CaY2Se PBE-GGA optimized geometry
# D(E_F) ... 8.7 states/eV per cell
# Magnetic moment ... 0.00 μB per formula unit
data_CaY2Se
_cell_length_a 6.7106
_cell_length_b 11.1024
_cell_length_c 3.6764
_cell_angle_alpha 90.00
_cell_angle_beta 121.62
_cell_angle_gamma 90.00
_space_group_name_H-M_alt 'C 1 2/m 1'
_space_group_IT_number 12
loop_
_space_group_symop_operation_xyz
'x,y,z'
'-x,-y,-z'
'-x,y,-z'
'x,-y,z'
'x+1/2,y+1/2,z'
'-x+1/2,-y+1/2,-z'
'-x+1/2,y+1/2,-z'
'x+1/2,-y+1/2,z'
loop_
_atom_site_label
_atom_site_fract_x
_atom_site_fract_y
_atom_site_fract_z
_atom_site_occupancy
Ca1 0.0000 0.0000 0.0000 1
Y1 0.2500 0.2500 0.5000 1
Se1 0.0000 0.5000 0.0000 1



(C)
# CaY2Se PBE-GGA optimized geometry
# D(E_F) ... 10.1 states/eV per cell
# Magnetic moment ... 0.00 μB per formula unit
data_CaY2Se
_cell_length_a 4.5314
_cell_length_b 4.5314
_cell_length_c 10.9963
_cell_angle_alpha 90.00
_cell_angle_beta 90.00
_cell_angle_gamma 90.00
_space_group_name_H-M_alt 'I -4 m 2'
_space_group_IT_number 119
_space_group_name_Hall 'I -4 -2'
loop_
_atom_site_label
_atom_site_fract_x
_atom_site_fract_y
_atom_site_fract_z
_atom_site_occupancy
Ca1 0.0000 0.0000 0.0000 1
Y1 0.0000 0.0000 0.5000 1
Y2 0.0000 0.5000 0.2500 1
Se1 0.0000 0.5000 0.7500 1



Which of them is most stable, and which least? Most stable: (B); least stable: (A).



(A)
# Ca3YSe PBE-GGA optimized geometry
# D(E_F) ... 8.9 states/eV per cell
# Magnetic moment ... 0.66 μB per formula unit
data_Ca3YSe
_cell_length_a 5.6890
_cell_length_b 5.6890
_cell_length_c 5.6890
_cell_angle_alpha 90.00
_cell_angle_beta 90.00
_cell_angle_gamma 90.00
_space_group_name_H-M_alt 'P m -3 m'
_space_group_IT_number 221
_space_group_name_Hall '-P 4 2 3'
loop_
_atom_site_label
_atom_site_fract_x
_atom_site_fract_y
_atom_site_fract_z
_atom_site_occupancy
Ca1 0.0000 0.0000 0.5000 1
Y1 0.5000 0.5000 0.5000 1
Se1 0.0000 0.0000 0.0000 1



(B)
# Ca3YSe PBE-GGA optimized geometry
# D(E_F) ... 2.9 states/eV per cell
# Magnetic moment ... 4.73 μB per formula unit
data_Ca3YSe
_cell_length_a 6.0529
_cell_length_b 6.0529
_cell_length_c 6.0529
_cell_angle_alpha 90.00
_cell_angle_beta 90.00
_cell_angle_gamma 90.00
_space_group_name_H-M_alt 'P m -3 m'
_space_group_IT_number 221
_space_group_name_Hall '-P 4 2 3'
loop_
_atom_site_label
_atom_site_fract_x
_atom_site_fract_y
_atom_site_fract_z
_atom_site_occupancy
Ca1 0.0000 0.0000 0.5000 1
Y1 0.0000 0.0000 0.0000 1
Se1 0.5000 0.5000 0.5000 1



Which of them is most stable, and which least? Most stable: (A); least stable: (B).